## CeMgP2O8 (PBE)

Data for a relaxed structure of CeMgP2O8.

Properties
- energy (hartree per atom) = -0.275

Cell and atoms, written as CIF:
```
data_CeMgP2O8
_symmetry_space_group_name_H-M 'P -3 m 1'
_symmetry_Int_Tables_number 164
_symmetry_space_group_name_Hall '-P 3 2"'
_cell_length_a 5.1369
_cell_length_b 5.1369
_cell_length_c 6.6319
_cell_angle_alpha 90.00
_cell_angle_beta 90.00
_cell_angle_gamma 120.00
loop_
_atom_site_label
_atom_site_fract_x
_atom_site_fract_y
_atom_site_fract_z
Ce1 0.0000 0.0000 0.0000
Mg1 0.0000 0.0000 0.5000
P1 0.3333 0.6667 0.7865
O1 0.1685 0.3370 0.7131
O2 0.3333 0.6667 0.0190
```

## CeMgPaO6 (PBE)

Data for a relaxed structure of CeMgPaO6.

Properties
- energy (hartree per atom) = -0.299
- Fermi-level density of states (states/eV/f.u.) = 7.72

Cell and atoms, written as CIF:
```
data_CeMgPaO6
_symmetry_space_group_name_H-M 'P -3 1 c'
_symmetry_Int_Tables_number 163
_symmetry_space_group_name_Hall '-P 3 2c'
_cell_length_a 5.5273
_cell_length_b 5.5273
_cell_length_c 9.5467
_cell_angle_alpha 90.00
_cell_angle_beta 90.00
_cell_angle_gamma 120.00
loop_
_atom_site_label
_atom_site_fract_x
_atom_site_fract_y
_atom_site_fract_z
Ce1 0.3333 0.6667 0.2500
Mg1 0.3333 0.6667 0.7500
Pa1 0.0000 0.0000 0.0000
O1 0.0174 0.3345 0.6297
```

## CeMgPtO6 (PBE)

Data for a relaxed structure of CeMgPtO6.

Properties
- energy (hartree per atom) = -0.239
- Fermi-level density of states (states/eV/f.u.) = 7.24

Cell and atoms, written as CIF:
```
data_CeMgPtO6
_symmetry_space_group_name_H-M 'P -3 1 c'
_symmetry_Int_Tables_number 163
_symmetry_space_group_name_Hall '-P 3 2c'
_cell_length_a 5.4840
_cell_length_b 5.4840
_cell_length_c 8.6848
_cell_angle_alpha 90.00
_cell_angle_beta 90.00
_cell_angle_gamma 120.00
loop_
_atom_site_label
_atom_site_fract_x
_atom_site_fract_y
_atom_site_fract_z
Ce1 0.3333 0.6667 0.2500
Mg1 0.0000 0.0000 0.0000
Pt1 0.3333 0.6667 0.7500
O1 0.0365 0.3573 0.6240
```

## CePuMgO6 (PBE)

Data for a relaxed structure of CePuMgO6.

Properties
- energy (hartree per atom) = -0.314
- Fermi-level density of states (states/eV/f.u.) = 7.85

Cell and atoms, written as CIF:
```
data_CePuMgO6
_symmetry_space_group_name_H-M 'P -3 1 c'
_symmetry_Int_Tables_number 163
_symmetry_space_group_name_Hall '-P 3 2c'
_cell_length_a 5.3938
_cell_length_b 5.3938
_cell_length_c 9.8685
_cell_angle_alpha 90.00
_cell_angle_beta 90.00
_cell_angle_gamma 120.00
loop_
_atom_site_label
_atom_site_fract_x
_atom_site_fract_y
_atom_site_fract_z
Ce1 0.0000 0.0000 0.0000
Pu1 0.3333 0.6667 0.2500
Mg1 0.3333 0.6667 0.7500
O1 0.0080 0.3505 0.1361
```

## Rb2CeMgO4 (PBE)

Data for a relaxed structure of Rb2CeMgO4.

Properties
- energy (hartree per atom) = -0.219
- Fermi-level density of states (states/eV/f.u.) = 0.00

Cell and atoms, written as CIF:
```
data_Rb2CeMgO4
_symmetry_space_group_name_H-M 'P m n 21'
_symmetry_Int_Tables_number 31
_cell_length_a 7.230
_cell_length_b 7.539
_cell_length_c 6.187
_cell_angle_alpha 90.00
_cell_angle_beta 90.00
_cell_angle_gamma 90.00
loop_
_symmetry_equiv_pos_as_xyz
'x,y,z'
'-x+1/2,-y,z+1/2'
'-x,y,z'
'x+1/2,-y,z+1/2'
loop_
_atom_site_label
_atom_site_fract_x
_atom_site_fract_y
_atom_site_fract_z
Rb1 0.248 0.162 0.000
Ce1 0.000 0.369 0.483
Mg1 0.000 0.655 0.981
O1 0.000 0.429 0.150
O2 0.000 0.603 0.665
O3 0.246 0.780 0.035
```

## Rb4Ce3MgO8 (PBE)

Data for a relaxed structure of Rb4Ce3MgO8.

Properties
- energy (hartree per atom) = -0.235
- Fermi-level density of states (states/eV/f.u.) = 8.75

Cell and atoms, written as CIF:
```
data_Rb4Ce3MgO8
_symmetry_space_group_name_H-M 'R -3 m'
_symmetry_Int_Tables_number 166
_symmetry_space_group_name_Hall '-R 3 2"'
_cell_length_a 7.1485
_cell_length_b 7.1485
_cell_length_c 19.6459
_cell_angle_alpha 90.00
_cell_angle_beta 90.00
_cell_angle_gamma 120.00
loop_
_atom_site_label
_atom_site_fract_x
_atom_site_fract_y
_atom_site_fract_z
Rb1 0.0000 0.0000 0.0000
Rb2 0.0000 0.5000 0.0000
Ce1 0.0000 0.5000 0.5000
Mg1 0.0000 0.0000 0.5000
O1 0.0000 0.0000 0.2272
O2 0.0020 0.5010 0.2249
```

## CeMgS2O8 (PBE)

Data for a relaxed structure of CeMgS2O8.

Properties
- energy (hartree per atom) = -0.239
- Fermi-level density of states (states/eV/f.u.) = 8.37

Cell and atoms, written as CIF:
```
data_CeMgS2O8
_symmetry_space_group_name_H-M 'P -3 m 1'
_symmetry_Int_Tables_number 164
_symmetry_space_group_name_Hall '-P 3 2"'
_cell_length_a 5.2198
_cell_length_b 5.2198
_cell_length_c 7.0280
_cell_angle_alpha 90.00
_cell_angle_beta 90.00
_cell_angle_gamma 120.00
loop_
_atom_site_label
_atom_site_fract_x
_atom_site_fract_y
_atom_site_fract_z
Ce1 0.0000 0.0000 0.0000
Mg1 0.0000 0.0000 0.5000
S1 0.3333 0.6667 0.2425
O1 0.1753 0.3506 0.3074
O2 0.3333 0.6667 0.0300
```

## CeMgUO6 (PBE)

Data for a relaxed structure of CeMgUO6.

Properties
- energy (hartree per atom) = -0.312

Cell and atoms, written as CIF:
```
data_CeMgUO6
_symmetry_space_group_name_H-M 'P -3 1 c'
_symmetry_Int_Tables_number 163
_symmetry_space_group_name_Hall '-P 3 2c'
_cell_length_a 5.4380
_cell_length_b 5.4380
_cell_length_c 9.8214
_cell_angle_alpha 90.00
_cell_angle_beta 90.00
_cell_angle_gamma 120.00
loop_
_atom_site_label
_atom_site_fract_x
_atom_site_fract_y
_atom_site_fract_z
Ce1 0.0000 0.0000 0.0000
Mg1 0.3333 0.6667 0.2500
U1 0.3333 0.6667 0.7500
O1 0.0051 0.3465 0.6358
```

## Ce5MgOs4 (PBE)

Data for a relaxed structure of Ce5MgOs4.

Properties
- energy (hartree per atom) = -0.283
- E_form (eV per atom) = -0.0946
- Fermi-level density of states (states/eV/f.u.) = 14.23

Cell and atoms, written as CIF:
```
data_Ce5MgOs4
_symmetry_space_group_name_H-M 'C 1 2/m 1'
_symmetry_Int_Tables_number 12
_cell_length_a 14.249
_cell_length_b 4.870
_cell_length_c 6.698
_cell_angle_alpha 90.00
_cell_angle_beta 96.30
_cell_angle_gamma 90.00
loop_
_symmetry_equiv_pos_as_xyz
'x,y,z'
'-x,-y,-z'
'-x,y,-z'
'x,-y,z'
'x+1/2,y+1/2,z'
'-x+1/2,-y+1/2,-z'
'-x+1/2,y+1/2,-z'
'x+1/2,-y+1/2,z'
loop_
_atom_site_label
_atom_site_fract_x
_atom_site_fract_y
_atom_site_fract_z
Ce1 0.000 0.000 0.000
Ce2 0.160 0.500 0.547
Ce3 0.174 0.500 0.039
Mg1 0.000 0.000 0.500
Os1 0.002 0.500 0.241
Os2 0.164 0.000 0.268
```

## Ce4MgOs2 (PBE)

Data for a relaxed structure of Ce4MgOs2.

Properties
- energy (hartree per atom) = -0.253
- E_form (eV per atom) = -0.0568
- Fermi-level density of states (states/eV/f.u.) = 14.53

Cell and atoms, written as CIF:
```
data_Ce4MgOs2
_symmetry_space_group_name_H-M 'P 1'
_symmetry_Int_Tables_number 1
_cell_length_a 6.651
_cell_length_b 7.164
_cell_length_c 8.442
_cell_angle_alpha 108.98
_cell_angle_beta 106.50
_cell_angle_gamma 104.77
loop_
_symmetry_equiv_pos_as_xyz
'x,y,z'
loop_
_atom_site_label
_atom_site_fract_x
_atom_site_fract_y
_atom_site_fract_z
Ce1 0.000 0.000 0.000
Ce2 0.010 0.455 0.935
Ce3 0.044 0.374 0.312
Ce4 0.281 0.266 0.731
Ce5 0.529 0.941 0.138
Ce6 0.600 0.974 0.566
Ce7 0.650 0.634 0.669
Ce8 0.985 0.874 0.353
Mg1 0.200 0.756 0.711
Mg2 0.515 0.424 0.212
Os1 0.379 0.199 0.409
Os2 0.615 0.131 0.920
Os3 0.695 0.599 0.016
Os4 0.870 0.330 0.544
```

## Ce3MgOs (PBE)

Data for a relaxed structure of Ce3MgOs.

Properties
- energy (hartree per atom) = -0.228
- E_form (eV per atom) = -0.0689
- Fermi-level density of states (states/eV/f.u.) = 9.71

Cell and atoms, written as CIF:
```
data_Ce3MgOs
_symmetry_space_group_name_H-M 'C 1 2/m 1'
_symmetry_Int_Tables_number 12
_cell_length_a 16.868
_cell_length_b 3.251
_cell_length_c 8.943
_cell_angle_alpha 90.00
_cell_angle_beta 101.74
_cell_angle_gamma 90.00
loop_
_symmetry_equiv_pos_as_xyz
'x,y,z'
'-x,-y,-z'
'-x,y,-z'
'x,-y,z'
'x+1/2,y+1/2,z'
'-x+1/2,-y+1/2,-z'
'-x+1/2,y+1/2,-z'
'x+1/2,-y+1/2,z'
loop_
_atom_site_label
_atom_site_fract_x
_atom_site_fract_y
_atom_site_fract_z
Ce1 0.015 0.000 0.209
Ce2 0.195 0.000 0.861
Ce3 0.196 0.000 0.287
Mg1 0.099 0.500 0.544
Os1 0.098 0.500 0.020
```

## Ce5MgOs3 (PBE)

Data for a relaxed structure of Ce5MgOs3.

Properties
- energy (hartree per atom) = -0.266
- E_form (eV per atom) = -0.0111
- Fermi-level density of states (states/eV/f.u.) = 20.73

Cell and atoms, written as CIF:
```
data_Ce5MgOs3
_symmetry_space_group_name_H-M 'C 1 2/m 1'
_symmetry_Int_Tables_number 12
_cell_length_a 12.276
_cell_length_b 9.047
_cell_length_c 10.003
_cell_angle_alpha 90.00
_cell_angle_beta 112.79
_cell_angle_gamma 90.00
loop_
_symmetry_equiv_pos_as_xyz
'x,y,z'
'-x,-y,-z'
'-x,y,-z'
'x,-y,z'
'x+1/2,y+1/2,z'
'-x+1/2,-y+1/2,-z'
'-x+1/2,y+1/2,-z'
'x+1/2,-y+1/2,z'
loop_
_atom_site_label
_atom_site_fract_x
_atom_site_fract_y
_atom_site_fract_z
Ce1 0.000 0.207 0.000
Ce2 0.048 0.000 0.358
Ce3 0.169 0.307 0.652
Ce4 0.231 0.500 0.041
Mg1 0.087 0.500 0.294
Os1 0.000 0.500 0.000
Os2 0.000 0.500 0.500
Os3 0.165 0.000 0.169
Os4 0.171 0.000 0.647
```

## Ce3MgOs (PBE)

Data for a relaxed structure of Ce3MgOs.

Properties
- energy (hartree per atom) = -0.223
- E_form (eV per atom) = 0.0598
- Fermi-level density of states (states/eV/f.u.) = 18.06

Cell and atoms, written as CIF:
```
data_Ce3MgOs
_symmetry_space_group_name_H-M 'P m -3 m'
_symmetry_Int_Tables_number 221
_symmetry_space_group_name_Hall '-P 4 2 3'
_cell_length_a 5.445
_cell_length_b 5.445
_cell_length_c 5.445
_cell_angle_alpha 90.00
_cell_angle_beta 90.00
_cell_angle_gamma 90.00
loop_
_atom_site_label
_atom_site_fract_x
_atom_site_fract_y
_atom_site_fract_z
Ce1 0.000 0.000 0.500
Mg1 0.500 0.500 0.500
Os1 0.000 0.000 0.000
```

## Ce2Mg2Os (PBE)

Data for a relaxed structure of Ce2Mg2Os.

Properties
- energy (hartree per atom) = -0.197
- E_form (eV per atom) = -0.1008
- Fermi-level density of states (states/eV/f.u.) = 7.60

Cell and atoms, written as CIF:
```
data_Ce2Mg2Os
_symmetry_space_group_name_H-M 'I 4/m m m'
_symmetry_Int_Tables_number 139
_symmetry_space_group_name_Hall '-I 4 2'
_cell_length_a 3.244
_cell_length_b 3.244
_cell_length_c 22.699
_cell_angle_alpha 90.00
_cell_angle_beta 90.00
_cell_angle_gamma 90.00
loop_
_atom_site_label
_atom_site_fract_x
_atom_site_fract_y
_atom_site_fract_z
Ce1 0.000 0.000 0.082
Mg1 0.000 0.000 0.299
Os1 0.000 0.000 0.500
```

## Ce3MgOs (PBE)

Data for a relaxed structure of Ce3MgOs.

Properties
- energy (hartree per atom) = -0.228
- E_form (eV per atom) = -0.0774
- Fermi-level density of states (states/eV/f.u.) = 10.64

Cell and atoms, written as CIF:
```
data_Ce3MgOs
_symmetry_space_group_name_H-M 'P 1 21/m 1'
_symmetry_Int_Tables_number 11
_cell_length_a 7.966
_cell_length_b 3.615
_cell_length_c 8.682
_cell_angle_alpha 90.00
_cell_angle_beta 95.09
_cell_angle_gamma 90.00
loop_
_symmetry_equiv_pos_as_xyz
'x,y,z'
'-x,-y,-z'
'-x,y+1/2,-z'
'x,-y+1/2,z'
loop_
_atom_site_label
_atom_site_fract_x
_atom_site_fract_y
_atom_site_fract_z
Ce1 0.111 0.250 0.164
Ce2 0.155 0.750 0.518
Ce3 0.352 0.750 0.952
Mg1 0.498 0.250 0.665
Os1 0.146 0.250 0.768
```

## Ce7MgOs2 (PBE)

Data for a relaxed structure of Ce7MgOs2.

Properties
- energy (hartree per atom) = -0.237
- E_form (eV per atom) = 0.1100
- Fermi-level density of states (states/eV/f.u.) = 31.25

Cell and atoms, written as CIF:
```
data_Ce7MgOs2
_symmetry_space_group_name_H-M 'C m m m'
_symmetry_Int_Tables_number 65
_symmetry_space_group_name_Hall '-C 2 2'
_cell_length_a 8.626
_cell_length_b 13.611
_cell_length_c 5.305
_cell_angle_alpha 90.00
_cell_angle_beta 90.00
_cell_angle_gamma 90.00
loop_
_atom_site_label
_atom_site_fract_x
_atom_site_fract_y
_atom_site_fract_z
Ce1 0.000 0.000 0.000
Ce2 0.000 0.207 0.500
Ce3 0.167 0.380 0.000
Mg1 0.000 0.500 0.500
Os1 0.000 0.190 0.000
```

## Ce2Mg6Os (PBE)

Data for a relaxed structure of Ce2Mg6Os.

Properties
- energy (hartree per atom) = -0.132
- E_form (eV per atom) = 0.0378
- Fermi-level density of states (states/eV/f.u.) = 12.02

Cell and atoms, written as CIF:
```
data_Ce2Mg6Os
_symmetry_space_group_name_H-M 'C 1 2/m 1'
_symmetry_Int_Tables_number 12
_cell_length_a 8.512
_cell_length_b 15.987
_cell_length_c 3.214
_cell_angle_alpha 90.00
_cell_angle_beta 99.81
_cell_angle_gamma 90.00
loop_
_symmetry_equiv_pos_as_xyz
'x,y,z'
'-x,-y,-z'
'-x,y,-z'
'x,-y,z'
'x+1/2,y+1/2,z'
'-x+1/2,-y+1/2,-z'
'-x+1/2,y+1/2,-z'
'x+1/2,-y+1/2,z'
loop_
_atom_site_label
_atom_site_fract_x
_atom_site_fract_y
_atom_site_fract_z
Ce1 0.000 0.142 0.000
Mg1 0.151 0.331 0.338
Mg2 0.204 0.500 0.865
Os1 0.000 0.000 0.500
```

## CePrMgOs (PBE)

Data for a relaxed structure of CePrMgOs.

Properties
- energy (hartree per atom) = -0.215
- E_form (eV per atom) = 0.0405
- Fermi-level density of states (states/eV/f.u.) = 4.73

Cell and atoms, written as CIF:
```
data_CePrMgOs
_symmetry_space_group_name_H-M 'F -4 3 m'
_symmetry_Int_Tables_number 216
_symmetry_space_group_name_Hall 'F -4 2 3'
_cell_length_a 7.253
_cell_length_b 7.253
_cell_length_c 7.253
_cell_angle_alpha 90.00
_cell_angle_beta 90.00
_cell_angle_gamma 90.00
loop_
_atom_site_label
_atom_site_fract_x
_atom_site_fract_y
_atom_site_fract_z
Ce1 0.000 0.000 0.000
Pr1 0.000 0.000 0.500
Mg1 0.250 0.250 0.750
Os1 0.250 0.250 0.250
```

## CeMgOsRh (PBE)

Data for a relaxed structure of CeMgOsRh.

Properties
- energy (hartree per atom) = -0.249
- E_form (eV per atom) = -0.2602
- Fermi-level density of states (states/eV/f.u.) = 2.85

Cell and atoms, written as CIF:
```
data_CeMgOsRh
_symmetry_space_group_name_H-M 'F -4 3 m'
_symmetry_Int_Tables_number 216
_symmetry_space_group_name_Hall 'F -4 2 3'
_cell_length_a 6.621
_cell_length_b 6.621
_cell_length_c 6.621
_cell_angle_alpha 90.00
_cell_angle_beta 90.00
_cell_angle_gamma 90.00
loop_
_atom_site_label
_atom_site_fract_x
_atom_site_fract_y
_atom_site_fract_z
Ce1 0.000 0.000 0.000
Mg1 0.000 0.000 0.500
Os1 0.250 0.250 0.750
Rh1 0.250 0.250 0.250
```

## CeThMgOs (PBE)

Data for a relaxed structure of CeThMgOs.

Properties
- energy (hartree per atom) = -0.240
- E_form (eV per atom) = 0.0052
- Fermi-level density of states (states/eV/f.u.) = 5.11

Cell and atoms, written as CIF:
```
data_CeThMgOs
_symmetry_space_group_name_H-M 'F -4 3 m'
_symmetry_Int_Tables_number 216
_symmetry_space_group_name_Hall 'F -4 2 3'
_cell_length_a 7.240
_cell_length_b 7.240
_cell_length_c 7.240
_cell_angle_alpha 90.00
_cell_angle_beta 90.00
_cell_angle_gamma 90.00
loop_
_atom_site_label
_atom_site_fract_x
_atom_site_fract_y
_atom_site_fract_z
Ce1 0.000 0.000 0.000
Th1 0.000 0.000 0.500
Mg1 0.250 0.250 0.750
Os1 0.250 0.250 0.250
```

## CeMgZnOs (PBE)

Data for a relaxed structure of CeMgZnOs.

Properties
- energy (hartree per atom) = -0.185
- E_form (eV per atom) = -0.0164
- Fermi-level density of states (states/eV/f.u.) = 5.19

Cell and atoms, written as CIF:
```
data_CeMgZnOs
_symmetry_space_group_name_H-M 'F -4 3 m'
_symmetry_Int_Tables_number 216
_symmetry_space_group_name_Hall 'F -4 2 3'
_cell_length_a 6.746
_cell_length_b 6.746
_cell_length_c 6.746
_cell_angle_alpha 90.00
_cell_angle_beta 90.00
_cell_angle_gamma 90.00
loop_
_atom_site_label
_atom_site_fract_x
_atom_site_fract_y
_atom_site_fract_z
Ce1 0.000 0.000 0.000
Mg1 0.000 0.000 0.500
Zn1 0.250 0.250 0.750
Os1 0.250 0.250 0.250
```